## P
A geometry-optimized ErGa2Sn2 structure, computed with PBE.

Summary:
Its total moment is 0.0 μB per cell. The space group is No. 63.

Cell: 4.817 4.235 11.392 Å, 90.00 102.21 90.00°
Positions (direct):
Er (0.363, 0.250, 0.726)
Er (0.637, 0.750, 0.274)
Ga (0.039, 0.750, 0.078)
Ga (0.464, 0.750, 0.929)
Ga (0.961, 0.250, 0.922)
Ga (0.536, 0.250, 0.071)
Sn (0.750, 0.250, 0.501)
Sn (0.250, 0.750, 0.499)
Sn (0.867, 0.750, 0.734)
Sn (0.133, 0.250, 0.266)



## Q
A geometry-optimized ErGa2Sn2 structure, computed with PBE.

Summary:
Its total moment is 0.0 μB per cell. The space group is No. 12.

Cell: 4.374 5.679 5.777 Å, 73.74 67.75 67.35°
Positions (direct):
Er (0.000, 0.000, 0.000)
Ga (0.281, 0.377, 0.061)
Ga (0.719, 0.623, 0.939)
Sn (0.630, 0.185, 0.554)
Sn (0.370, 0.815, 0.446)



The winner here is P, beating the second structure by 0.007 eV/atom.



## P
A geometry-optimized ErGa2Sn structure, computed with PBE.

Summary:
Its total moment is 0.0 μB per cell. The space group is No. 123.

Cell: 4.306 4.452 4.452 Å, 90.00 90.00 90.00°
Positions (direct):
Sn (0.500, 0.000, 0.000)
Ga (0.000, 0.000, 0.500)
Ga (0.000, 0.500, 0.000)
Er (0.500, 0.500, 0.500)



## Q
A geometry-optimized ErGa2Sn structure, computed with PBE.

Summary:
Its total moment is 0.0 μB per cell. The space group is No. 166.

Cell: 4.832 4.832 5.322 Å, 63.00 63.00 60.00°
Positions (direct):
Sn (0.000, 0.000, 0.000)
Ga (0.739, 0.739, 0.784)
Ga (0.261, 0.261, 0.216)
Er (0.500, 0.500, 0.500)



The winner here is P, beating the second structure by 0.249 eV/atom.



## P
A geometry-optimized TbErGaSn structure, computed with PBE.

Summary:
Its total moment is 0.0 μB per cell. The space group is No. 38.

Cell: 4.451 4.151 5.987 Å, 90.00 111.82 90.00°
Positions (direct):
Tb (0.136, 0.000, 0.272)
Er (0.857, 0.500, 0.715)
Ga (0.588, 0.500, 0.175)
Sn (0.419, 0.000, 0.838)



## Q
A geometry-optimized TbErGaSn structure, computed with PBE.

Summary:
Its total moment is 0.0 μB per cell. The space group is No. 216.

Cell: 5.207 5.207 5.207 Å, 60.00 60.00 60.00°
Positions (direct):
Tb (0.000, 0.000, 0.000)
Sn (0.250, 0.250, 0.250)
Ga (0.750, 0.750, 0.750)
Er (0.500, 0.500, 0.500)



The winner here is P, beating the second structure by 0.155 eV/atom.



## P
A geometry-optimized YErGaSn structure, computed with PBE.

Summary:
Its total moment is 0.0 μB per cell. The space group is No. 38.

Cell: 4.443 4.148 5.977 Å, 90.00 111.82 90.00°
Positions (direct):
Y (0.136, 0.000, 0.271)
Er (0.857, 0.500, 0.715)
Ga (0.588, 0.500, 0.176)
Sn (0.419, 0.000, 0.838)



## Q
A geometry-optimized YErGaSn structure, computed with PBE.

Summary:
Its total moment is 0.0 μB per cell. The space group is No. 216.

Cell: 5.202 5.202 5.202 Å, 60.00 60.00 60.00°
Positions (direct):
Y (0.250, 0.250, 0.250)
Sn (0.500, 0.500, 0.500)
Ga (0.000, 0.000, 0.000)
Er (0.750, 0.750, 0.750)



The winner here is P, beating the second structure by 0.165 eV/atom.



## P
A geometry-optimized SrEr2Ga structure, computed with PBE.

Summary:
Its total moment is 0.0 μB per cell. The space group is No. 166.

Cell: 3.653 3.653 11.446 Å, 80.82 80.82 60.00°
Positions (direct):
Sr (0.000, 0.000, 0.000)
Ga (0.500, 0.500, 0.500)
Er (0.106, 0.106, 0.683)
Er (0.894, 0.894, 0.317)



## Q
A geometry-optimized SrEr2Ga structure, computed with PBE.

Summary:
Its total moment is 0.0 μB per cell. The space group is No. 123.

Cell: 3.612 3.612 9.528 Å, 90.00 90.00 90.00°
Positions (direct):
Sr (0.500, 0.500, 0.500)
Ga (0.500, 0.500, 0.000)
Er (0.000, 0.000, 0.821)
Er (0.000, 0.000, 0.179)



The winner here is Q, beating the second structure by 0.196 eV/atom.



## P
A geometry-optimized TbErGa structure, computed with PBE.

Summary:
Its total moment is 0.0 μB per cell. The space group is No. 216.

Cell: 4.947 4.947 4.947 Å, 60.00 60.00 60.00°
Positions (direct):
Tb (0.500, 0.500, 0.500)
Ga (0.250, 0.250, 0.250)
Er (0.000, 0.000, 0.000)



## Q
A geometry-optimized TbErGa structure, computed with PBE.

Summary:
Its total moment is 0.0 μB per cell. The space group is No. 12.

Cell: 3.652 5.156 8.367 Å, 90.08 102.59 90.00°
Positions (direct):
Tb (0.853, 0.527, 0.392)
Tb (0.007, 0.024, 0.701)
Er (0.707, 0.026, 0.100)
Er (0.153, 0.525, 0.993)
Ga (0.508, 0.523, 0.702)
Ga (0.353, 0.028, 0.391)



## R
A geometry-optimized TbErGa structure, computed with PBE.

Summary:
Its total moment is 1.0 μB per cell. The space group is No. 11.

Cell: 4.466 7.914 13.352 Å, 89.03 90.00 90.00°
Positions (direct):
Tb (0.750, 0.529, 0.386)
Tb (0.250, 0.970, 0.717)
Tb (0.750, 0.030, 0.283)
Tb (0.750, 0.645, 0.084)
Tb (0.250, 0.471, 0.614)
Tb (0.250, 0.355, 0.916)
Er (0.250, 0.981, 0.091)
Er (0.250, 0.857, 0.453)
Er (0.750, 0.627, 0.790)
Er (0.750, 0.143, 0.547)
Er (0.250, 0.373, 0.210)
Er (0.750, 0.019, 0.909)
Ga (0.250, 0.746, 0.920)
Ga (0.750, 0.271, 0.749)
Ga (0.750, 0.760, 0.583)
Ga (0.750, 0.254, 0.080)
Ga (0.250, 0.240, 0.417)
Ga (0.250, 0.729, 0.251)



## S
A geometry-optimized TbErGa structure, computed with PBE.

Summary:
Its total moment is 0.0 μB per cell. The space group is No. 156.

Cell: 3.641 4.955 4.955 Å, 120.00 90.00 90.00°
Positions (direct):
Tb (0.614, 0.667, 0.333)
Ga (0.308, 0.333, 0.667)
Er (0.078, 0.000, 0.000)



The winner here is R, beating the second structure by 0.008 eV/atom.



## P
A geometry-optimized TbErGa structure, computed with PBE.

Summary:
Its total moment is 0.0 μB per cell. The space group is No. 107.

Cell: 3.460 3.460 6.958 Å, 104.40 104.40 90.00°
Positions (direct):
Tb (0.970, 0.970, 0.940)
Ga (0.618, 0.618, 0.237)
Er (0.262, 0.262, 0.524)



## Q
A geometry-optimized TbErGa structure, computed with PBE.

Summary:
Its total moment is 0.7 μB per cell. The space group is No. 164.

Cell: 3.574 3.574 14.764 Å, 90.00 90.00 120.00°
Positions (direct):
Tb (0.667, 0.333, 0.598)
Tb (0.333, 0.667, 0.402)
Er (0.667, 0.333, 0.207)
Er (0.333, 0.667, 0.793)
Ga (0.667, 0.333, 0.942)
Ga (0.333, 0.667, 0.058)



The winner here is P, beating the second structure by 0.244 eV/atom.



## P
A geometry-optimized Tb3ErGa2 structure, computed with PBE.

Summary:
Its total moment is 0.0 μB per cell. The space group is No. 26.

Cell: 4.981 6.541 9.465 Å, 90.00 90.00 90.00°
Positions (direct):
Tb (0.000, 0.470, 0.953)
Tb (0.000, 0.970, 0.047)
Tb (0.500, 0.678, 0.180)
Tb (0.500, 0.178, 0.820)
Tb (0.000, 0.321, 0.325)
Tb (0.000, 0.821, 0.675)
Er (0.500, 0.530, 0.549)
Er (0.500, 0.030, 0.451)
Ga (0.500, 0.708, 0.856)
Ga (0.500, 0.208, 0.144)
Ga (0.000, 0.293, 0.643)
Ga (0.000, 0.793, 0.357)



## Q
A geometry-optimized Tb3ErGa2 structure, computed with PBE.

Summary:
Its total moment is 0.0 μB per cell. The space group is No. 12.

Cell: 5.029 9.113 8.877 Å, 124.04 90.00 106.02°
Positions (direct):
Tb (0.312, 0.625, 0.622)
Tb (0.939, 0.878, 0.595)
Tb (0.624, 0.248, 0.736)
Tb (0.376, 0.752, 0.264)
Tb (0.061, 0.122, 0.405)
Tb (0.688, 0.375, 0.378)
Er (0.872, 0.744, 0.935)
Er (0.128, 0.256, 0.065)
Ga (0.515, 0.030, 0.880)
Ga (0.485, 0.970, 0.120)
Ga (0.771, 0.543, 0.158)
Ga (0.229, 0.457, 0.842)



The winner here is P, beating the second structure by 0.109 eV/atom.



## P
A geometry-optimized TbErGa4 structure, computed with PBE.

Summary:
Its total moment is 0.0 μB per cell. The space group is No. 191.

Cell: 4.212 4.212 8.159 Å, 90.00 90.00 120.00°
Positions (direct):
Tb (0.000, 0.000, 0.500)
Er (0.000, 0.000, 0.000)
Ga (0.333, 0.667, 0.247)
Ga (0.333, 0.667, 0.753)
Ga (0.667, 0.333, 0.247)
Ga (0.667, 0.333, 0.753)



## Q
A geometry-optimized TbErGa4 structure, computed with PBE.

Summary:
Its total moment is 0.0 μB per cell. The space group is No. 216.

Cell: 5.500 5.500 5.500 Å, 60.00 60.00 60.00°
Positions (direct):
Tb (0.250, 0.250, 0.250)
Ga (0.625, 0.625, 0.125)
Ga (0.625, 0.125, 0.625)
Ga (0.625, 0.625, 0.625)
Ga (0.125, 0.625, 0.625)
Er (0.000, 0.000, 0.000)



## R
A geometry-optimized TbErGa4 structure, computed with PBE.

Summary:
Its total moment is 0.0 μB per cell. The space group is No. 44.

Cell: 4.250 5.792 5.792 Å, 73.92 68.48 68.48°
Positions (direct):
Tb (0.440, 0.060, 0.060)
Er (0.561, 0.439, 0.439)
Ga (0.161, 0.639, 0.039)
Ga (0.838, 0.859, 0.465)
Ga (0.838, 0.465, 0.859)
Ga (0.161, 0.039, 0.639)



The winner here is P, beating the second structure by 0.007 eV/atom.



## P
A geometry-optimized TbEr3Ga4 structure, computed with PBE.

Summary:
Its total moment is 0.0 μB per cell. The space group is No. 51.

Cell: 5.030 7.080 10.061 Å, 90.00 90.00 90.00°
Positions (direct):
Tb (0.000, 0.500, 0.000)
Tb (0.000, 0.500, 0.500)
Ga (0.500, 0.753, 0.000)
Ga (0.500, 0.753, 0.500)
Ga (0.500, 0.247, 0.000)
Ga (0.500, 0.247, 0.500)
Ga (0.003, 0.753, 0.750)
Ga (0.997, 0.753, 0.250)
Ga (0.997, 0.247, 0.250)
Ga (0.003, 0.247, 0.750)
Er (0.000, 0.000, 0.000)
Er (0.000, 0.000, 0.500)
Er (0.502, 0.000, 0.750)
Er (0.498, 0.000, 0.250)
Er (0.502, 0.500, 0.750)
Er (0.498, 0.500, 0.250)



## Q
A geometry-optimized TbEr3Ga4 structure, computed with PBE.

Summary:
Its total moment is 0.0 μB per cell. The space group is No. 71.

Cell: 3.538 6.731 9.078 Å, 111.76 101.24 90.00°
Positions (direct):
Tb (0.500, 0.000, 0.000)
Er (0.000, 0.500, 0.000)
Er (0.202, 0.202, 0.405)
Er (0.798, 0.798, 0.595)
Ga (0.370, 0.562, 0.739)
Ga (0.630, 0.438, 0.261)
Ga (0.630, 0.822, 0.260)
Ga (0.370, 0.178, 0.740)



The winner here is P, beating the second structure by 0.119 eV/atom.



## P
A geometry-optimized Tb2ErGa structure, computed with PBE.

Summary:
Its total moment is 0.7 μB per cell. The space group is No. 160.

Cell: 3.615 3.615 10.383 Å, 79.98 79.98 60.00°
Positions (direct):
Tb (0.072, 0.072, 0.785)
Tb (0.262, 0.262, 0.215)
Er (0.500, 0.500, 0.499)
Ga (0.666, 0.666, 0.001)



## Q
A geometry-optimized Tb2ErGa structure, computed with PBE.

Summary:
Its total moment is 0.0 μB per cell. The space group is No. 166.

Cell: 3.480 3.480 11.817 Å, 81.53 81.53 60.00°
Positions (direct):
Tb (0.086, 0.086, 0.742)
Tb (0.914, 0.914, 0.258)
Ga (0.000, 0.000, 0.000)
Er (0.500, 0.500, 0.500)



The winner here is P, beating the second structure by 0.331 eV/atom.